ScCdO3 | PBE-GGA | optimized geometry

It has space group P4mm (No. 99), with a = 4.0805 Å, b = 4.0805 Å, c = 4.1502 Å, α = 90.00°, β = 90.00° and γ = 90.00°. Symmetry generates all atoms from Sc at (0.0000, 0.0000, 0.0000), Cd at (0.5000, 0.5000, 0.3318), O at (0.0000, 0.0000, 0.5141) and O at (0.0000, 0.5000, 0.0626).

The value obtained for the energy is -30.9 eV for the cell shown.



Sc2Cd2O5 | PBE-GGA | optimized geometry

It has space group P4/mmm (No. 123), with a = 3.7598 Å, b = 3.7598 Å, c = 8.9199 Å, α = 90.00°, β = 90.00° and γ = 90.00°. Symmetry generates all atoms from Sc at (0.0000, 0.0000, 0.0000), Sc at (0.0000, 0.0000, 0.5000), Cd at (0.5000, 0.5000, 0.2487), O at (0.0000, 0.5000, 0.1365) and O at (0.5000, 0.5000, 0.5000).

Its energy relative to the lowest polymorph listed for this composition is 738 meV per atom.